Density functional theory data (PBE-GGA) for TiAgTe2 after structural relaxation.

Geometry as extended XYZ:
```
8
Lattice="6.416 0.000 0.000 0.000 6.416 0.000 3.208 3.208 6.281" Properties=species:S:1:pos:R:3 pbc="T T T"
Ag 0.000 0.000 0.000
Ag 6.416 3.208 3.141
Te 4.812 4.920 4.711
Te 1.712 4.812 1.570
Te 4.704 1.604 1.570
Te 8.020 7.912 4.711
Ti 3.208 6.416 3.141
Ti 3.208 3.208 0.000
```

Properties
The final energy comes out at -36.20 eV for the cell shown. The space group is I-42d, No. 122. The value obtained for the density is 5.278 g/cm3. The formation energy without anion corrections comes out at -0.2670 eV/atom.

Density functional theory data (PBE-GGA) for V2Zn2Ga after structural relaxation.

Geometry as extended XYZ:
```
10
Lattice="4.173 0.000 0.000 0.000 3.299 0.000 -2.086 0.000 10.357" Properties=species:S:1:pos:R:3 pbc="T T T"
Zn 2.086 0.825 1.135
Zn 0.000 2.474 9.222
Zn 0.000 2.474 0.998
Zn 2.086 0.825 9.359
V 2.086 0.825 5.367
V 2.086 2.474 7.271
V 0.000 2.474 4.990
V 0.000 0.825 3.086
Ga 0.000 0.825 7.042
Ga 2.086 2.474 3.315
```

Properties
The final energy comes out at -48.58 eV for the cell shown. The energy relative to the elements is -96 meV per atom. The polymorph energy (0 for the lowest one) is 0 meV per atom. The space group is Cmcm, No. 63. The value obtained for the density is 7.046 g/cm3.

Density functional theory data (PBE-GGA) for FeRuSeN2 after structural relaxation.

Geometry as extended XYZ:
```
5
Lattice="-0.382 3.006 2.218 -2.350 1.540 -2.492 -4.247 -2.400 2.521" Properties=species:S:1:pos:R:3 pbc="T T T"
Fe -3.490 1.073 1.124
Ru 0.000 0.000 0.000
Se -2.124 -1.200 1.261
N -1.175 0.770 -1.246
N -0.191 1.503 1.109
```

Properties
The final energy comes out at -33.33 eV for the cell shown. The polymorph energy (0 for the lowest one) is 0 meV per atom. The space group is P4/mmm, No. 123. The value obtained for the density is 5.657 g/cm3. The formation energy without anion corrections comes out at 0.9083 eV/atom.